{"formula": "TbSm2Ge2", "functional": "GGA-PBE", "state": "optimized geometry", "e_form_ev_per_atom": -0.778, "dos_at_fermi_per_ev_fu": 4.69, "crystal_system": "tetragonal", "relative_energy_mev_per_atom": 0, "cell": [[7.698, 0.000, 0.000], [0.000, 7.698, 0.000], [0.000, 0.000, 4.339]], "species": ["Tb", "Tb", "Sm", "Sm", "Sm", "Sm", "Ge", "Ge", "Ge", "Ge"], "frac_coords": [[0.000, 0.000, 0.000], [0.500, 0.500, 0.000], [0.174, 0.326, 0.500], [0.326, 0.826, 0.500], [0.674, 0.174, 0.500], [0.826, 0.674, 0.500], [0.123, 0.623, 0.000], [0.377, 0.123, 0.000], [0.623, 0.877, 0.000], [0.877, 0.377, 0.000]]}

***

{"formula": "AcPm2In4", "functional": "GGA-PBE", "state": "optimized geometry", "e_form_ev_per_atom": -0.445, "dos_at_fermi_per_ev_fu": 6.83, "crystal_system": "tetragonal", "cell": [[7.933, 0.000, 0.000], [0.000, 7.933, 0.000], [0.000, 0.000, 6.744]], "species": ["Ac", "Ac", "Pm", "Pm", "Pm", "Pm", "In", "In", "In", "In", "In", "In", "In", "In"], "frac_coords": [[0.000, 0.000, 0.000], [0.500, 0.500, 0.500], [0.000, 0.500, 0.250], [0.000, 0.500, 0.750], [0.500, 0.000, 0.250], [0.500, 0.000, 0.750], [0.191, 0.191, 0.500], [0.191, 0.809, 0.500], [0.309, 0.309, 0.000], [0.309, 0.691, 0.000], [0.691, 0.309, 0.000], [0.691, 0.691, 0.000], [0.809, 0.191, 0.500], [0.809, 0.809, 0.500]]}

***

{"formula": "Zn2CrRe", "functional": "GGA-PBE", "state": "optimized geometry", "e_form_ev_per_atom": 0.249, "dos_at_fermi_per_ev_fu": 2.94, "crystal_system": "monoclinic", "relative_energy_mev_per_atom": 138, "cell": [[5.121, 0.000, 0.000], [0.000, 8.657, 0.000], [-0.713, 0.000, 2.479]], "species": ["Zn", "Zn", "Zn", "Zn", "Cr", "Cr", "Re", "Re"], "frac_coords": [[0.250, 0.250, 0.000], [0.250, 0.750, 0.000], [0.750, 0.250, 0.000], [0.750, 0.750, 0.000], [0.000, 0.000, 0.500], [0.500, 0.500, 0.500], [0.000, 0.500, 0.500], [0.500, 0.000, 0.500]]}

***

{"formula": "MgAgPd", "functional": "GGA-PBE", "state": "optimized geometry", "e_form_ev_per_atom": -0.344, "dos_at_fermi_per_ev_fu": 1.16, "crystal_system": "trigonal", "relative_energy_mev_per_atom": 75, "cell": [[4.488, 0.000, 0.000], [-2.244, 3.887, 0.000], [0.000, 0.000, 2.919]], "species": ["Mg", "Ag", "Pd"], "frac_coords": [[0.000, 0.000, 0.000], [0.333, 0.667, 0.669], [0.667, 0.333, 0.289]]}